[1]
Compound: CaCePb2
Source: Alexandria via LeMat-Bulk
Functional: PBE
Structure: relaxed

a = 3.6029 Å, b = 3.6029 Å, c = 9.2220 Å
α = 90.00°, β = 90.00°, γ = 90.00°
Last column: nearest neighbours and their distance in Å.
Element x y z (fractional)
Ce (0.5000, 0.5000, 0.0000)  8 Pb 3.45, 4 Ce 3.60
Pb (0.0000, 0.0000, 0.2524)  4 Ca 3.42, 4 Ce 3.45, 4 Pb 3.60
Ca (0.5000, 0.5000, 0.5000)  8 Pb 3.42, 4 Ca 3.60
Pb (0.0000, 0.0000, 0.7476)  4 Ca 3.42, 4 Ce 3.45, 4 Pb 3.60

Output
The space-group type is P4/mmm, No. 123.

[2]
Compound: CaCe5Pb3
Source: Alexandria via LeMat-Bulk
Functional: PBE
Structure: relaxed

a = 6.7786 Å, b = 9.6364 Å, c = 9.6365 Å
α = 120.00°, β = 90.00°, γ = 90.00°
Last column: nearest neighbours and their distance in Å.
Element x y z (fractional)
Ce (0.2500, 0.3478, 0.3478)  5 Pb 3.18-3.40
Ce (0.5000, 0.3333, 0.6667)  8 Ce 3.39-3.57, 6 Pb 3.68
Ce (0.2500, 0.0000, 0.6522)  5 Pb 3.18-3.40
Ce (0.7500, 0.3478, 0.0000)  5 Pb 3.18-3.40
Pb (0.7500, 0.3220, 0.3220)  5 Ce 3.18-3.40, 2 Ca 3.54
Ce (0.0000, 0.6667, 0.3333)  8 Ce 3.39-3.57, 6 Pb 3.68
Ca (0.0000, 0.0000, 0.0000)  2 Ca 3.39, 6 Pb 3.54, 6 Ce 3.76
Pb (0.2500, 0.0000, 0.3220)  5 Ce 3.18-3.40, 2 Ca 3.54
Pb (0.7500, 0.6780, 0.0000)  5 Ce 3.18-3.40, 2 Ca 3.54
Ce (0.2500, 0.6522, 0.0000)  5 Pb 3.18-3.40
Pb (0.2500, 0.3220, 0.0000)  5 Ce 3.18-3.40, 2 Ca 3.54
Pb (0.2500, 0.6780, 0.6780)  5 Ce 3.18-3.40, 2 Ca 3.54
Pb (0.7500, 0.0000, 0.6780)  5 Ce 3.18-3.40, 2 Ca 3.54
Ca (0.5000, 0.0000, 0.0000)  2 Ca 3.39, 6 Pb 3.54, 6 Ce 3.76
Ce (0.7500, 0.6522, 0.6522)  5 Pb 3.18-3.40
Ce (0.5000, 0.6667, 0.3333)  8 Ce 3.39-3.57, 6 Pb 3.68
Ce (0.7500, 0.0000, 0.3478)  5 Pb 3.18-3.40
Ce (0.0000, 0.3333, 0.6667)  8 Ce 3.39-3.57, 6 Pb 3.68

Output
The space-group type is P6_3/mcm, No. 193.

[3]
Compound: CaCePb3
Source: Alexandria via LeMat-Bulk
Functional: PBE
Structure: relaxed

a = 4.9851 Å, b = 9.0410 Å, c = 7.7914 Å
α = 90.00°, β = 71.32°, γ = 90.00°
Last column: nearest neighbours and their distance in Å.
Element x y z (fractional)
Pb (0.1709, 0.5025, 0.1590)  4 Pb 3.34-3.43, 3 Ce 3.38-3.59, 3 Ca 3.40-3.50
Pb (0.0048, 0.2500, 0.4902)  2 Ca 3.26, 2 Ce 3.30, 4 Pb 3.34-3.42
Ce (0.3582, 0.2500, 0.7833)  8 Pb 3.30-3.59
Pb (0.8291, 0.4975, 0.8410)  4 Pb 3.34-3.43, 3 Ce 3.38-3.59, 3 Ca 3.40-3.50
Pb (0.8291, 0.0025, 0.8410)  4 Pb 3.34-3.43, 3 Ce 3.38-3.59, 3 Ca 3.40-3.50
Ce (0.6418, 0.7500, 0.2167)  8 Pb 3.30-3.59
Ca (0.6479, 0.2500, 0.2050)  8 Pb 3.26-3.50
Pb (0.9952, 0.7500, 0.5098)  2 Ca 3.26, 2 Ce 3.30, 4 Pb 3.34-3.42
Pb (0.1709, 0.9975, 0.1590)  4 Pb 3.34-3.43, 3 Ce 3.38-3.59, 3 Ca 3.40-3.50
Ca (0.3521, 0.7500, 0.7950)  8 Pb 3.26-3.50

Output
The space-group type is P2_1/m, No. 11.

[4]
Compound: Ca2CePb3
Source: Alexandria via LeMat-Bulk
Functional: PBE
Structure: relaxed

a = 8.1396 Å, b = 8.1396 Å, c = 9.1394 Å
α = 90.00°, β = 90.00°, γ = 143.29°
Last column: nearest neighbours and their distance in Å.
Element x y z (fractional)
Pb (0.1665, 0.8335, 0.7489)  5 Ca 3.43-3.46, 3 Ce 3.43-3.44, 4 Pb 3.63-3.64
Ca (0.0000, 0.0000, 0.5000)  8 Pb 3.43-3.44, 4 Ca 3.62
Pb (0.1665, 0.8335, 0.2511)  5 Ca 3.43-3.46, 3 Ce 3.43-3.44, 4 Pb 3.63-3.64
Ca (0.0000, 0.0000, 0.0000)  8 Pb 3.43-3.45, 4 Ce 3.66
Pb (0.8335, 0.1665, 0.2511)  5 Ca 3.43-3.46, 3 Ce 3.43-3.44, 4 Pb 3.63-3.64
Ca (0.6652, 0.3348, 0.5000)  8 Pb 3.43-3.46, 4 Ca 3.62-3.67
Ce (0.3313, 0.6687, 0.0000)  8 Pb 3.43-3.46, 2 Ce 3.59, 2 Ca 3.66
Pb (0.8335, 0.1665, 0.7489)  5 Ca 3.43-3.46, 3 Ce 3.43-3.44, 4 Pb 3.63-3.64
Pb (0.5000, 0.5000, 0.7512)  6 Ca 3.43-3.44, 2 Ce 3.46, 4 Pb 3.63
Ca (0.3348, 0.6652, 0.5000)  8 Pb 3.43-3.46, 4 Ca 3.62-3.67
Ce (0.6687, 0.3313, 0.0000)  8 Pb 3.43-3.46, 2 Ce 3.59, 2 Ca 3.66
Pb (0.5000, 0.5000, 0.2488)  6 Ca 3.43-3.44, 2 Ce 3.46, 4 Pb 3.63

Output
The space-group type is Cmmm, No. 65. The offset from the most stable computed form is 0.0058 eV/atom.

[5]
Compound: Ca2CePb
Source: Alexandria via LeMat-Bulk
Functional: PBE
Structure: relaxed

a = 5.6515 Å, b = 5.6515 Å, c = 5.6524 Å
α = 60.01°, β = 60.01°, γ = 60.00°
Last column: nearest neighbours and their distance in Å.
Element x y z (fractional)
Pb (0.0000, 0.0000, 0.0000)  8 Ca 3.46
Ca (0.7500, 0.7500, 0.7500)  4 Ce 3.46, 4 Pb 3.46
Ce (0.5000, 0.5000, 0.5000)  8 Ca 3.46
Ca (0.2500, 0.2500, 0.2500)  4 Ce 3.46, 4 Pb 3.46

Output
The space-group type is Fm-3m, No. 225. The offset from the most stable computed form is 0.2136 eV/atom.

[6]
Compound: CaCe2Pb9
Source: Alexandria via LeMat-Bulk
Functional: PBE
Structure: relaxed

a = 4.9162 Å, b = 4.9162 Å, c = 14.8018 Å
α = 90.00°, β = 90.00°, γ = 90.00°
Last column: nearest neighbours and their distance in Å.
Element x y z (fractional)
Ca (0.0000, 0.0000, 0.0000)  12 Pb 3.48
Pb (0.5000, 0.5000, 0.0000)  4 Ca 3.48, 8 Pb 3.48
Pb (0.5000, 0.5000, 0.6669)  4 Ce 3.48, 8 Pb 3.48
Pb (0.5000, 0.0000, 0.8332)  8 Pb 3.48, 2 Ca 3.48, 2 Ce 3.53
Ce (0.0000, 0.0000, 0.6617)  12 Pb 3.43-3.53
Pb (0.0000, 0.5000, 0.5000)  4 Ce 3.43, 8 Pb 3.48
Pb (0.5000, 0.0000, 0.1668)  8 Pb 3.48, 2 Ca 3.48, 2 Ce 3.53
Pb (0.0000, 0.5000, 0.1668)  8 Pb 3.48, 2 Ca 3.48, 2 Ce 3.53
Pb (0.5000, 0.0000, 0.5000)  4 Ce 3.43, 8 Pb 3.48
Ce (0.0000, 0.0000, 0.3383)  12 Pb 3.43-3.53
Pb (0.5000, 0.5000, 0.3331)  4 Ce 3.48, 8 Pb 3.48
Pb (0.0000, 0.5000, 0.8332)  8 Pb 3.48, 2 Ca 3.48, 2 Ce 3.53

Output
The space-group type is P4/mmm, No. 123.

[7]
Compound: Ca2CePb
Source: Alexandria via LeMat-Bulk
Functional: PBE
Structure: relaxed

a = 5.2214 Å, b = 4.9867 Å, c = 4.9867 Å
α = 90.00°, β = 90.00°, γ = 90.00°
Last column: nearest neighbours and their distance in Å.
Element x y z (fractional)
Pb (0.5000, 0.0000, 0.0000)  4 Ce 3.53, 8 Ca 3.61
Ca (0.0000, 0.0000, 0.5000)  4 Ca 3.53, 4 Ce 3.61, 4 Pb 3.61
Ce (0.5000, 0.5000, 0.5000)  4 Pb 3.53, 8 Ca 3.61
Ca (0.0000, 0.5000, 0.0000)  4 Ca 3.53, 4 Pb 3.61, 4 Ce 3.61

Output
The space-group type is P4/mmm, No. 123. The offset from the most stable computed form is 0.0000 eV/atom.

[8]
Compound: Ca2CePb9
Source: Alexandria via LeMat-Bulk
Functional: PBE
Structure: relaxed

a = 4.9299 Å, b = 4.9299 Å, c = 14.8731 Å
α = 90.00°, β = 90.00°, γ = 90.00°
Last column: nearest neighbours and their distance in Å.
Element x y z (fractional)
Pb (0.0000, 0.5000, 0.8326)  2 Ca 3.45, 8 Pb 3.49-3.50, 2 Ce 3.50
Pb (0.0000, 0.5000, 0.5000)  8 Pb 3.49, 4 Ca 3.53
Ca (0.0000, 0.0000, 0.3300)  12 Pb 3.45-3.53
Pb (0.5000, 0.0000, 0.8326)  2 Ca 3.45, 8 Pb 3.49-3.50, 2 Ce 3.50
Pb (0.5000, 0.5000, 0.6658)  8 Pb 3.49-3.50, 4 Ca 3.49
Pb (0.5000, 0.0000, 0.5000)  8 Pb 3.49, 4 Ca 3.53
Pb (0.5000, 0.5000, 0.3342)  8 Pb 3.49-3.50, 4 Ca 3.49
Ce (0.0000, 0.0000, 0.0000)  12 Pb 3.49-3.50
Pb (0.5000, 0.5000, 0.0000)  4 Ce 3.49, 8 Pb 3.50
Ca (0.0000, 0.0000, 0.6700)  12 Pb 3.45-3.53
Pb (0.0000, 0.5000, 0.1674)  2 Ca 3.45, 8 Pb 3.49-3.50, 2 Ce 3.50
Pb (0.5000, 0.0000, 0.1674)  2 Ca 3.45, 8 Pb 3.49-3.50, 2 Ce 3.50

Output
The space-group type is P4/mmm, No. 123.

The records above yield Fermi-level density of states values of 7.47; 26.54; 8.75; 7.82; 8.26; 14.44; 9.15; 9.10 states/eV/f.u., respectively.
The records above yield energy of formation values of -457; -327; -264; -472; 10; -336; -204; -328 meV per atom, respectively.
The records above yield magnetic moment values of 1.39; 15.40; 2.54; 2.25; 3.62; 1.95; 1.44; 1.05 μB/cell, respectively.